{
  "formula": "TlAg2Te",
  "functional": "PBE",
  "state": "optimized geometry",
  "dos_ef_per_ev_atom": 0.303,
  "magmom_total_mub_per_cell": 0.000,
  "mass_density_g_cm3": 9.160,
  "e_form_raw_ev_per_atom": 0.1369,
  "cell": [[6.3955, -0.0281, -0.0832], [-3.2162, 5.1482, -0.0137], [-0.0369, 1.0175, 3.0133]],
  "species": ["Te", "Tl", "Ag", "Ag"],
  "fractional_positions": [[0.0000, 0.5000, 0.5000], [0.5000, 0.5000, 0.0000], [0.0000, 0.0000, 0.0000], [0.5000, 0.0000, 0.5000]]
}